ZrTl8Se6 | Alexandria via LeMat-Bulk | PBE | optimized geometry; total energy = -112.172 eV/cell; energy relative to the elements, uncorrected = -49.5 kJ/mol of atoms
1.0
8.906 0.000 0.000
0.000 11.518 0.000
0.000 0.000 10.658
Zr Tl Se
2 16 12
Direct
0.000 0.155 0.000
0.500 0.845 0.500
0.000 0.687 0.158
0.000 0.875 0.425
0.216 0.091 0.693
0.232 0.288 0.376
0.242 0.423 0.020
0.258 0.577 0.520
0.268 0.712 0.876
0.284 0.909 0.193
0.500 0.125 0.925
0.500 0.313 0.658
0.716 0.909 0.193
0.732 0.712 0.876
0.742 0.577 0.520
0.758 0.423 0.020
0.768 0.288 0.376
0.784 0.091 0.693
0.000 0.123 0.479
0.000 0.320 0.842
0.000 0.451 0.233
0.000 0.964 0.886
0.250 0.173 0.122
0.250 0.827 0.622
0.500 0.036 0.386
0.500 0.549 0.733
0.500 0.680 0.342
0.500 0.877 0.979
0.750 0.173 0.122
0.750 0.827 0.622